No. 1
# BaAu4, optimized geometry, DFT PBEsol
# Total energy in eV per atom: -2.781
# Formation enthalpy at 0 K in eV per atom: 0.7878
data_BaAu4
_chemical_formula_sum 'Ba2 Au8'
_symmetry_space_group_name_H-M 'I m -3 m'
_symmetry_Int_Tables_number 229
_symmetry_space_group_name_Hall '-I 4 2 3'
_cell_length_a 6.7470
_cell_length_b 6.7470
_cell_length_c 6.7470
_cell_angle_alpha 90.00
_cell_angle_beta 90.00
_cell_angle_gamma 90.00
loop_
_atom_site_label
_atom_site_type_symbol
_atom_site_fract_x
_atom_site_fract_y
_atom_site_fract_z
Ba1 Ba 0.0000 0.0000 0.0000
Au1 Au 0.2500 0.2500 0.2500



No. 2
# BaAu5, optimized geometry, DFT PBEsol
# Total energy in eV per atom: -4.048
# Formation enthalpy at 0 K in eV per atom: -0.4200
data_BaAu5
_chemical_formula_sum 'Ba1 Au5'
_symmetry_space_group_name_H-M 'P 6/m m m'
_symmetry_Int_Tables_number 191
_symmetry_space_group_name_Hall '-P 6 2'
_cell_length_a 5.7121
_cell_length_b 5.7121
_cell_length_c 4.5421
_cell_angle_alpha 90.00
_cell_angle_beta 90.00
_cell_angle_gamma 120.00
loop_
_atom_site_label
_atom_site_type_symbol
_atom_site_fract_x
_atom_site_fract_y
_atom_site_fract_z
Ba1 Ba 0.0000 0.0000 0.0000
Au1 Au 0.0000 0.5000 0.5000
Au2 Au 0.3333 0.6667 0.0000